[1]
CsLaCl PBE-GGA relaxed; volume = 41.2 A^3/atom; crystal system = orthorhombic; uncorrected formation energy = -2.5 eV/f.u.
1.0
4.1028 0.0000 0.0000
-2.0514 3.5303 0.0000
0.0000 0.0000 17.0816
Cl Cs La
2 2 2
direct
0.5572 0.1145 0.0000
0.3308 0.6615 0.5000
0.6658 0.3316 0.3595
0.6658 0.3316 0.6405
0.2235 0.4470 0.8834
0.2235 0.4470 0.1166

[2]
CsLaTeN2 PBE-GGA relaxed; volume = 28.2 A^3/atom; crystal system = tetragonal; uncorrected formation energy = 6.5 eV/f.u.
1.0
4.5889 0.0000 0.0000
0.0000 4.5889 0.0000
0.0000 0.0000 6.6965
Cs N Te La
1 2 1 1
direct
0.0000 0.0000 0.0000
0.0000 0.5000 0.0000
0.5000 0.0000 0.0000
0.0000 0.0000 0.5000
0.5000 0.5000 0.5000

[3]
Pr8Ag2Sn PBE-GGA relaxed; volume = 31.4 A^3/atom; ΔE_f = -206 meV/atom; crystal system = monoclinic
1.0
5.1648 0.0000 0.0000
0.0000 8.2355 -0.0900
-2.5824 -3.6371 8.1511
Pr Ag Sn
8 2 1
direct
0.4071 0.5402 0.8142
0.6796 0.9629 0.3593
0.8248 0.7353 0.6497
0.9579 0.2384 0.9157
0.1752 0.2647 0.3503
0.3204 0.0371 0.6407
0.5929 0.4598 0.1858
0.0421 0.7616 0.0843
0.8066 0.3444 0.6131
0.1934 0.6556 0.3869
0.5000 0.0000 0.0000

[4]
CdReSbI2 PBE-GGA relaxed; volume = 38.7 A^3/atom; crystal system = tetragonal; uncorrected formation energy = 7.2 eV/f.u.
1.0
5.7859 0.0000 0.0000
0.0000 5.7859 0.0000
0.0000 0.0000 5.7758
I Re Cd Sb
2 1 1 1
direct
0.0000 0.5000 0.0000
0.5000 0.0000 0.0000
0.5000 0.5000 0.5000
0.0000 0.0000 0.0000
0.0000 0.0000 0.5000

[5]
ReTeRh3 PBE-GGA relaxed; volume = 21.2 A^3/atom; crystal system = cubic; uncorrected formation energy = 5.3 eV/f.u.
1.0
-3.1323 -3.5307 -0.3945
0.6365 -0.0403 -4.6932
3.4952 -3.1568 0.5012
Re Te Rh
1 1 3
direct
0.0000 0.0000 0.0000
0.5000 0.5000 0.5000
0.0000 0.5000 0.0000
0.0000 0.0000 0.5000
0.5000 0.0000 0.0000

[6]
ThMg4 PBE-GGA relaxed; volume = 25.1 A^3/atom; ΔE_f = 25 meV/atom; crystal system = orthorhombic
1.0
3.3920 0.0000 0.0000
0.0000 3.7569 0.0000
-1.6960 -1.8784 9.8427
Th Mg
1 4
direct
0.0000 0.0000 0.0000
0.6157 0.6157 0.2315
0.2043 0.2043 0.4087
0.7957 0.7957 0.5913
0.3843 0.3843 0.7685

[7]
Ag2RhBr2 PBE-GGA relaxed; volume = 21.5 A^3/atom; crystal system = tetragonal; uncorrected formation energy = 1.5 eV/f.u.
1.0
6.9445 0.0000 0.0000
0.0000 6.9445 0.0000
0.0000 0.0000 4.4567
Rh Br Ag
2 4 4
direct
0.0000 0.0000 0.0000
0.5000 0.5000 0.0000
0.3279 0.8279 0.0000
0.8279 0.6721 0.0000
0.6721 0.1721 0.0000
0.1721 0.3279 0.0000
0.1539 0.6539 0.5000
0.6539 0.8461 0.5000
0.8461 0.3461 0.5000
0.3461 0.1539 0.5000

[8]
Ce5PuPb3 PBE-GGA relaxed; volume = 29.6 A^3/atom; ΔE_f = -308 meV/atom; crystal system = hexagonal
1.0
6.6148 0.0000 0.0000
0.0000 8.3580 -4.8255
0.0000 0.0001 9.6511
Ce Pu Pb
10 2 6
direct
0.0000 0.6667 0.3333
0.5000 0.3333 0.6667
0.0000 0.3333 0.6667
0.5000 0.6667 0.3333
0.7500 0.6842 0.6843
0.7500 0.0000 0.3157
0.7500 0.3157 0.0000
0.2500 0.3158 0.3157
0.2500 0.0000 0.6843
0.2500 0.6843 0.0000
0.0000 0.0000 0.0000
0.5000 0.0000 0.0000
0.7500 0.3473 0.3473
0.7500 0.0000 0.6527
0.7500 0.6527 0.0000
0.2500 0.6527 0.6527
0.2500 0.0000 0.3473
0.2500 0.3473 0.0000

[9]
Sm2HoEr9 PBE-GGA relaxed; volume = 31.0 A^3/atom; ΔE_f = 24 meV/atom; crystal system = tetragonal
1.0
4.9886 0.0000 0.0000
0.0000 4.9886 0.0000
0.0000 0.0000 14.9610
Sm Ho Er
2 1 9
direct
0.0000 0.0000 0.3329
0.0000 0.0000 0.6671
0.0000 0.0000 0.0000
0.5000 0.5000 0.0000
0.5000 0.5000 0.3324
0.5000 0.5000 0.6676
0.5000 0.0000 0.1652
0.5000 0.0000 0.5000
0.5000 0.0000 0.8348
0.0000 0.5000 0.1652
0.0000 0.5000 0.5000
0.0000 0.5000 0.8348

[10]
SiPdRh2 PBE-GGA relaxed; volume = 15.4 A^3/atom; crystal system = tetragonal; uncorrected formation energy = 0.3 eV/f.u.
1.0
-0.4063 3.6720 0.0627
-0.2572 0.0345 -3.6858
-9.2553 0.8554 -1.1983
Si Rh Pd
2 4 2
direct
0.5000 0.5000 0.0000
0.2500 0.7500 0.5000
0.6144 0.1250 0.2500
0.1356 0.6250 0.2500
0.3750 0.3856 0.7500
0.8750 0.8644 0.7500
0.0000 0.0000 0.0000
0.7500 0.2500 0.5000

[11]
YBi2S4 PBE-GGA relaxed; volume = 28.3 A^3/atom; crystal system = tetragonal; uncorrected formation energy = -4.1 eV/f.u.
1.0
-4.3185 -1.5037 -2.7830
-0.2853 -4.5053 2.8770
-6.3640 0.1793 4.6300
Y S Bi
1 4 2
direct
0.0000 0.0000 0.0000
0.1952 0.1952 0.6097
0.8048 0.8048 0.3903
0.0000 0.5000 0.0000
0.5000 0.0000 0.0000
0.3718 0.3718 0.2565
0.6282 0.6282 0.7435

[12]
Sc4InRhAu2 PBE-GGA relaxed; volume = 19.7 A^3/atom; ΔE_f = -749 meV/atom; crystal system = trigonal
1.0
-0.4103 2.3394 -4.1964
-1.5118 -2.3475 -3.9312
-8.0405 1.8353 -0.9610
Sc In Rh Au
4 1 1 2
direct
0.3852 0.3852 0.8444
0.8680 0.8680 0.3959
0.1320 0.1320 0.6041
0.6148 0.6148 0.1556
0.0000 0.0000 0.0000
0.5000 0.5000 0.5000
0.7410 0.7410 0.7770
0.2590 0.2590 0.2230

[13]
Tb6Tc2Pb PBE-GGA relaxed; volume = 27.2 A^3/atom; ΔE_f = -191 meV/atom; crystal system = orthorhombic
1.0
8.0586 -0.0749 -3.0385
-4.2618 7.1129 -2.3286
-0.1821 0.0749 8.6105
Tb Tc Pb
12 4 2
direct
0.5253 0.7164 0.8089
0.4747 0.2836 0.1911
0.0926 0.2836 0.8089
0.9074 0.7164 0.1911
0.7819 0.7625 0.5444
0.2181 0.2375 0.4556
0.2181 0.7625 0.9806
0.7819 0.2375 0.0194
0.7010 0.3821 0.6811
0.2990 0.6179 0.3189
0.2990 0.9801 0.6811
0.7010 0.0199 0.3189
0.5000 0.3851 0.8851
0.5000 0.6149 0.1149
0.6309 0.0000 0.6309
0.3691 0.0000 0.3691
0.0000 0.5000 0.5000
0.0000 0.0000 0.0000

[14]
TmMgGa2Au4 PBE-GGA relaxed; volume = 19.0 A^3/atom; ΔE_f = -516 meV/atom; crystal system = trigonal
1.0
-2.2953 1.0278 3.7631
-4.4713 -0.6787 0.1800
-0.9294 -7.8299 4.2935
Tm Mg Ga Au
1 1 2 4
direct
0.0000 0.0000 0.0000
0.5000 0.5000 0.5000
0.7538 0.7538 0.7386
0.2462 0.2462 0.2614
0.3892 0.3892 0.8324
0.8702 0.8702 0.3895
0.1298 0.1298 0.6105
0.6108 0.6108 0.1676

[15]
AgSe2NF PBE-GGA relaxed; volume = 22.4 A^3/atom; crystal system = tetragonal; uncorrected formation energy = 6.0 eV/f.u.
1.0
5.2625 0.0000 0.0000
0.0000 5.2625 0.0000
0.0000 0.0000 4.0518
N Se Ag F
1 2 1 1
direct
0.0000 0.0000 0.5000
0.0000 0.5000 0.0000
0.5000 0.0000 0.0000
0.0000 0.0000 0.0000
0.5000 0.5000 0.5000

[16]
LiY2Cl PBE-GGA relaxed; volume = 27.9 A^3/atom; crystal system = tetragonal; uncorrected formation energy = -1.2 eV/f.u.
1.0
8.2150 0.0000 0.0000
0.0000 8.2150 0.0000
4.1075 4.1075 3.3088
Y Li Cl
4 2 2
direct
0.6890 0.1250 0.2500
0.0610 0.6250 0.2500
0.3750 0.3110 0.7500
0.8750 0.9390 0.7500
0.5000 0.5000 0.0000
0.2500 0.7500 0.5000
0.0000 0.0000 0.0000
0.7500 0.2500 0.5000

[17]
LaCd2Hg6 PBE-GGA relaxed; volume = 25.6 A^3/atom; ΔE_f = -188 meV/atom; crystal system = trigonal
1.0
-1.7986 3.2079 -3.6670
-1.4201 -4.9951 0.0046
-7.7153 2.2018 5.7105
La Cd Hg
1 2 6
direct
0.0000 0.0000 0.5000
0.3334 0.6667 0.6976
0.6666 0.3333 0.3024
0.6667 0.3333 0.9749
0.3333 0.6667 0.0251
0.0000 0.0000 0.1668
0.3333 0.6666 0.3526
0.0000 0.0000 0.8332
0.6667 0.3334 0.6474

[18]
SrHgPbCl2 PBE-GGA relaxed; volume = 42.7 A^3/atom; crystal system = tetragonal; uncorrected formation energy = -3.0 eV/f.u.
1.0
-5.4719 -0.7535 -1.1884
0.4601 -6.3803 1.9269
-1.3523 1.4964 5.2777
Pb Sr Hg Cl
1 1 1 2
direct
0.0000 0.0000 0.0000
0.0000 0.5000 0.0000
0.5000 0.5000 0.5000
0.0000 0.0000 0.5000
0.5000 0.0000 0.0000

[19]
CeIF2 PBE-GGA relaxed; volume = 22.3 A^3/atom; crystal system = orthorhombic; uncorrected formation energy = -12.2 eV/f.u.
1.0
4.0262 -0.0007 0.0000
-2.0138 6.0132 0.0000
0.0000 0.0000 7.3689
Ce I F
2 2 4
direct
0.7613 0.5225 0.7500
0.2387 0.4775 0.2500
0.9555 0.9104 0.2500
0.0445 0.0896 0.7500
0.3039 0.6077 0.5722
0.6961 0.3923 0.4278
0.3039 0.6077 0.9278
0.6961 0.3923 0.0722

[20]
HgSbN2 PBE-GGA relaxed; volume = 15.8 A^3/atom; crystal system = trigonal; uncorrected formation energy = 2.7 eV/f.u.
1.0
-6.0162 2.5431 3.0396
-5.4268 -0.1572 4.7357
-3.8852 2.5960 5.4833
Sb Hg N
1 1 2
direct
0.5000 0.5000 0.5000
0.0000 0.0000 0.0000
0.8857 0.8857 0.8857
0.1143 0.1143 0.1143